1.
Density functional theory data (PBE-GGA) for a geometry-optimized BeNbTe2N structure.

Output
Energy relative to the lowest polymorph listed for this composition   0.0 meV/atom
Space-group type   No. 123
Spin magnetization   1.2 Bohr magnetons per cell
DOS at the Fermi energy   4.6 states/eV per cell
Volume   89.8 Å³ per cell
Mass density   6.86 g cm⁻³

abc: 5.393 5.393 3.087
angles: 90.00 90.00 90.00
Element x y z (fractional)
Nb: 0.500 0.500 0.500
N: 0.000 0.000 0.500
Te: 0.500 0.000 0.000
Te: 0.000 0.500 0.000
Be: 0.000 0.000 0.000

=====

2.
Density functional theory data (PBE-GGA) for a geometry-optimized CaCd4Hg2 structure.

Output
Energy relative to the lowest polymorph listed for this composition   0.0 meV/atom
Space-group type   No. 136
Spin magnetization   0.0 Bohr magnetons per cell
DOS at the Fermi energy   7.6 states/eV per cell
Energy relative to the elements   -0.174 eV per atom
Volume   350.9 Å³ per cell
Mass density   8.43 g cm⁻³

abc: 4.780 8.568 8.568
angles: 90.00 90.00 90.00
Element x y z (fractional)
Cd: 0.000 0.888 0.639
Cd: 0.000 0.361 0.112
Cd: 0.000 0.639 0.888
Cd: 0.500 0.612 0.139
Cd: 0.500 0.139 0.612
Cd: 0.500 0.861 0.388
Cd: 0.000 0.112 0.361
Cd: 0.500 0.388 0.861
Hg: 0.500 0.328 0.328
Hg: 0.000 0.828 0.172
Hg: 0.500 0.672 0.672
Hg: 0.000 0.172 0.828
Ca: 0.500 0.000 0.000
Ca: 0.000 0.500 0.500

=====

3.
Density functional theory data (PBE-GGA) for a geometry-optimized Mg2OsAuSe structure.

Output
Energy relative to the lowest polymorph listed for this composition   531.3 meV/atom
Space-group type   No. 123
Spin magnetization   2.5 Bohr magnetons per cell
DOS at the Fermi energy   4.2 states/eV per cell
Volume   123.6 Å³ per cell
Mass density   6.92 g cm⁻³

abc: 5.029 4.888 5.029
angles: 90.00 90.00 90.00
Element x y z (fractional)
Os: 0.500 0.500 0.500
Se: 0.000 0.500 0.000
Mg: 0.000 0.000 0.500
Mg: 0.500 0.000 0.000
Au: 0.000 0.000 0.000

=====

4.
Density functional theory data (PBE-GGA) for a geometry-optimized SmMg6Ag2 structure.

Output
Energy relative to the lowest polymorph listed for this composition   0.0 meV/atom
Space-group type   No. 123
Spin magnetization   0.0 Bohr magnetons per cell
DOS at the Fermi energy   6.4 states/eV per cell
Energy relative to the elements   -0.121 eV per atom
Volume   206.6 Å³ per cell
Mass density   4.11 g cm⁻³

abc: 4.328 4.328 11.034
angles: 90.00 90.00 90.00
Element x y z (fractional)
Mg: 0.500 0.000 0.284
Mg: 0.000 0.000 0.500
Mg: 0.000 0.500 0.716
Mg: 0.500 0.500 0.500
Mg: 0.000 0.500 0.284
Mg: 0.500 0.000 0.716
Sm: 0.000 0.000 0.000
Ag: 0.500 0.500 0.123
Ag: 0.500 0.500 0.877

=====

5.
Density functional theory data (PBE-GGA) for a geometry-optimized Zr2RuPt structure.

Output
Space-group type   No. 122
Spin magnetization   0.0 Bohr magnetons per cell
DOS at the Fermi energy   13.4 states/eV per cell
Energy relative to the elements   0.355 eV per atom
Volume   213.8 Å³ per cell
Mass density   7.44 g cm⁻³

abc: 6.014 6.014 7.281
angles: 65.61 65.61 90.00
Element x y z (fractional)
Zr: 0.375 0.391 0.750
Zr: 0.875 0.859 0.750
Zr: 0.609 0.125 0.250
Zr: 0.141 0.625 0.250
Pt: 0.000 0.000 0.000
Pt: 0.750 0.250 0.500
Ru: 0.250 0.750 0.500
Ru: 0.500 0.500 0.000

=====

6.
Density functional theory data (PBE-GGA) for a geometry-optimized Ba2CaNiHg structure.

Output
Space-group type   No. 123
Spin magnetization   0.0 Bohr magnetons per cell
DOS at the Fermi energy   3.0 states/eV per cell
Energy relative to the elements   -0.105 eV per atom
Volume   197.4 Å³ per cell
Mass density   4.83 g cm⁻³

abc: 6.032 6.032 5.425
angles: 90.00 90.00 90.00
Element x y z (fractional)
Ba: 0.500 0.000 0.000
Ba: 0.000 0.500 0.000
Hg: 0.500 0.500 0.500
Ca: 0.000 0.000 0.500
Ni: 0.000 0.000 0.000